Entry from Alexandria via LeMat-Bulk: a relaxed structure of CsZnCdSb (PBE-GGA).

Cell: 4.368 4.368 15.170 Å, 90.00 90.00 90.00°
Element x y z (fractional)
Cs 0.750 0.750 0.255
Cd 0.750 0.250 0.500
Cs 0.250 0.250 0.745
Sb 0.250 0.250 0.111
Cd 0.250 0.750 0.500
Zn 0.250 0.750 0.000
Zn 0.750 0.250 0.000
Sb 0.750 0.750 0.889

Summary:
ΔE_f (raw)	-0.186	eV per atom
space group	No. 129